Record 1
Density functional theory data (PBE) for a relaxed structure of Ti7SnSb2.

Cell: 4.6720 7.7012 7.7012 Å, 122.03 90.00 90.00°
Sites, in units of the cell vectors:
1 Ti 0.0000 0.7931 0.2069
2 Ti 0.0000 0.2069 0.7931
3 Ti 0.5000 0.0621 0.2783
4 Ti 0.5000 0.9379 0.7217
5 Ti 0.5000 0.2783 0.0621
6 Ti 0.5000 0.7217 0.9379
7 Ti 0.5000 0.5000 0.5000
8 Sn 0.0000 0.0000 0.0000
9 Sb 0.5000 0.6993 0.3007
10 Sb 0.5000 0.3007 0.6993

The space group is No. 65. The formation energy (no corrections) is 0.298 eV/atom.


Record 2
Density functional theory data (PBE) for a relaxed structure of Nd2DySi3Pt4.

Cell: 4.2873 4.2873 10.8013 Å, 90.00 90.00 90.00°
Sites, in units of the cell vectors:
1 Nd 0.5000 0.0000 0.2268
2 Nd 0.0000 0.5000 0.7732
3 Dy 0.5000 0.5000 0.5000
4 Si 0.0000 0.0000 0.5000
5 Si 0.5000 0.0000 0.8819
6 Si 0.0000 0.5000 0.1181
7 Pt 0.5000 0.5000 0.0000
8 Pt 0.0000 0.0000 0.0000
9 Pt 0.5000 0.0000 0.6601
10 Pt 0.0000 0.5000 0.3399

The space group is No. 115. The formation energy (no corrections) is -1.056 eV/atom.


Record 3
Density functional theory data (PBE) for a relaxed structure of PmYPd2.

Cell: 4.1520 4.1520 7.1253 Å, 73.06 73.06 60.00°
Sites, in units of the cell vectors:
1 Y 0.0000 0.0000 0.0000
2 Pd 0.7475 0.7475 0.7576
3 Pd 0.2525 0.2525 0.2424
4 Pm 0.5000 0.5000 0.5000

The space group is No. 166. The formation energy comes out at -0.7010 eV/atom.


Record 4
Density functional theory data (PBE) for a relaxed structure of HgN.

Cell: 5.8656 12.4283 8.2096 Å, 90.00 90.00 90.00°
Sites, in units of the cell vectors:
1 Hg 0.7606 0.5407 0.0302
2 Hg 0.2606 0.9593 0.9698
3 Hg 0.2394 0.0407 0.4698
4 Hg 0.7394 0.4593 0.5302
5 Hg 0.2587 0.6767 0.9113
6 Hg 0.7587 0.8233 0.0887
7 Hg 0.7413 0.1767 0.5887
8 Hg 0.2413 0.3233 0.4113
9 N 0.2912 0.6478 0.3478
10 N 0.7912 0.8522 0.6522
11 N 0.7088 0.1478 0.1522
12 N 0.2088 0.3522 0.8478
13 N 0.3331 0.3058 0.9226
14 N 0.8331 0.1942 0.0774
15 N 0.6669 0.8058 0.5774
16 N 0.1669 0.6942 0.4226

The space group is No. 19. The formation energy (no corrections) is 0.051 eV/atom.


Record 5
Density functional theory data (PBE) for a relaxed structure of PmLuZn.

Cell: 3.5769 3.5769 6.6239 Å, 105.66 105.66 90.00°
Sites, in units of the cell vectors:
1 Zn 0.6763 0.6763 0.3526
2 Lu 0.3061 0.3061 0.6121
3 Pm 0.0176 0.0176 0.0353

The space group is No. 107. The formation energy comes out at -0.2027 eV/atom.


Record 6
Density functional theory data (PBE) for a relaxed structure of LiCu2Ir.

Cell: 2.9934 2.9934 5.5529 Å, 90.00 90.00 90.00°
Sites, in units of the cell vectors:
1 Cu 0.0000 0.0000 0.9961
2 Cu 0.5000 0.5000 0.2418
3 Ir 0.0000 0.0000 0.5024
4 Li 0.5000 0.5000 0.7597

The space group is No. 99. The formation energy comes out at 0.1045 eV/atom.


Record 7
Density functional theory data (PBE) for a relaxed structure of ZrNbH4.

Cell: 5.3230 5.3230 5.3230 Å, 111.04 111.04 106.38°
Sites, in units of the cell vectors:
1 Zr 0.7496 0.7496 0.0000
2 Zr 0.4996 0.9996 0.5000
3 Nb 0.2492 0.2492 0.0000
4 Nb 0.9992 0.4992 0.5000
5 H 0.2419 0.9249 0.6830
6 H 0.7587 0.4338 0.6752
7 H 0.6749 0.4919 0.1830
8 H 0.1838 0.0087 0.1752
9 H 0.3090 0.4919 0.8170
10 H 0.8335 0.0087 0.8248
11 H 0.7587 0.0835 0.3248
12 H 0.2419 0.5590 0.3170

The space group is No. 109. The calculation puts the raw total energy at -5.532 eV per atom.


Record 8
Density functional theory data (PBE) for a relaxed structure of ZrTaCr2Cu.

Cell: 4.5067 4.6717 4.5067 Å, 90.00 90.00 90.00°
Sites, in units of the cell vectors:
1 Cr 0.0000 0.0000 0.5000
2 Cr 0.5000 0.0000 0.0000
3 Cu 0.0000 0.5000 0.0000
4 Zr 0.0000 0.0000 0.0000
5 Ta 0.5000 0.5000 0.5000

The space group is No. 123. The formation energy comes out at 1.7566 eV/atom.


Question: Which formula does entry 5 have?
Answer: PmLuZn


What did the fourth record say?
Density functional theory data (PBE) for a relaxed structure of HgN.

Cell: 5.8656 12.4283 8.2096 Å, 90.00 90.00 90.00°
Sites, in units of the cell vectors:
1 Hg 0.7606 0.5407 0.0302
2 Hg 0.2606 0.9593 0.9698
3 Hg 0.2394 0.0407 0.4698
4 Hg 0.7394 0.4593 0.5302
5 Hg 0.2587 0.6767 0.9113
6 Hg 0.7587 0.8233 0.0887
7 Hg 0.7413 0.1767 0.5887
8 Hg 0.2413 0.3233 0.4113
9 N 0.2912 0.6478 0.3478
10 N 0.7912 0.8522 0.6522
11 N 0.7088 0.1478 0.1522
12 N 0.2088 0.3522 0.8478
13 N 0.3331 0.3058 0.9226
14 N 0.8331 0.1942 0.0774
15 N 0.6669 0.8058 0.5774
16 N 0.1669 0.6942 0.4226

The space group is No. 19. The formation energy (no corrections) is 0.051 eV/atom.